Here is HfPtO2 after structural relaxation from Alexandria via LeMat-Bulk. Energies are from PBE.

Unit cell a=4.187 b=4.187 c=12.613 alpha=90.00 beta=90.00 gamma=90.00
Space group I-42d (No. 122)
Asymmetric unit:
Hf  0.000  0.000  0.000 (multiplicity 4)
Pt  0.000  0.000  0.500 (multiplicity 4)
O  0.202  0.250  0.125 (multiplicity 8)

## Properties
- uncorrected energy (eV per cell) = -129.15
- D(E_F) (states/eV/f.u.) = 0.88
- size of the total moment (μB/f.u.) = 0.000

---

Here is Pr2P2Ru2C after structural relaxation from Alexandria via LeMat-Bulk. Energies are from PBE.

Unit cell a=11.147 b=4.021 c=6.948 alpha=90.00 beta=125.86 gamma=90.00
Space group C2/m (No. 12)
Asymmetric unit:
Pr  0.065  0.000  0.313 (multiplicity 4)
P  0.183  0.500  0.724 (multiplicity 4)
Ru  0.195  0.500  0.079 (multiplicity 4)
C  0.000  0.500  0.000 (multiplicity 2)

## Properties
- uncorrected energy (eV per cell) = -108.38
- D(E_F) (states/eV/f.u.) = 4.03
- size of the total moment (μB/f.u.) = 0.000
- energy of formation (eV/atom) = -0.86

---

Here is TlTePN2 after structural relaxation from Alexandria via LeMat-Bulk. Energies are from PBE.

Unit cell a=3.933 b=3.933 c=5.436 alpha=90.00 beta=90.00 gamma=90.00
Space group P4/mmm (No. 123)
Asymmetric unit:
Tl  0.000  0.000  0.000 (multiplicity 1)
Te  0.500  0.500  0.000 (multiplicity 1)
P  0.500  0.500  0.500 (multiplicity 1)
N  0.000  0.500  0.500 (multiplicity 2)

## Properties
- uncorrected energy (eV per cell) = -21.14
- D(E_F) (states/eV/f.u.) = 2.39
- size of the total moment (μB/f.u.) = 0.923